(1)
A relaxed LiTcO3 crystal. Source: the Alexandria database, functional GGA-PBE.

The space group is Pnma (No. 62) and the conventional cell measures 5.433, 8.687 and 5.031 Å, with angles of 90.00, 90.00 and 90.00 degrees. The inequivalent atoms are Li at (0.000, 0.000, 0.000), Tc at (0.001, 0.250, 0.406), O at (0.001, 0.250, 0.746) and O at (0.250, 0.111, 0.250).

The density of states at the Fermi level comes out at 0.00 states/eV/f.u. The value obtained for the uncorrected formation energy is -1.586 eV/atom.

(2)
A relaxed LiTcTeO2 crystal. Source: the Alexandria database, functional GGA-PBE.

The space group is P4/mmm (No. 123) and the conventional cell measures 3.868, 3.868 and 4.977 Å, with angles of 90.00, 90.00 and 90.00 degrees. The inequivalent atoms are Li at (0.000, 0.000, 0.000), Tc at (0.500, 0.500, 0.500), Te at (0.000, 0.000, 0.500) and O at (0.000, 0.500, 0.000).

The density of states at the Fermi level comes out at 4.02 states/eV/f.u. The value obtained for the uncorrected formation energy is 0.452 eV/atom.